DFT (PBE) results for a relaxed Dy3PaAg3Se8 crystal. Values from VASP.

Structure (Quantum ESPRESSO input):
```
&SYSTEM
  ibrav = 0, nat = 15, ntyp = 4
/
ATOMIC_SPECIES
Dy 162.50 Dy.upf
Pa 231.04 Pa.upf
Ag 107.87 Ag.upf
Se 78.96 Se.upf
CELL_PARAMETERS angstrom
4.182 2.414 6.439
-4.182 2.414 6.439
0.000 -4.829 6.439
ATOMIC_POSITIONS crystal
Dy 0.000 0.500 0.500
Dy 0.500 0.000 0.500
Dy 0.500 0.500 0.000
Pa 0.000 0.000 0.000
Ag 0.000 0.000 0.500
Ag 0.000 0.500 0.000
Ag 0.500 0.000 0.000
Se 0.248 0.248 0.747
Se 0.248 0.747 0.248
Se 0.251 0.251 0.251
Se 0.253 0.752 0.752
Se 0.747 0.248 0.248
Se 0.749 0.749 0.749
Se 0.752 0.253 0.752
Se 0.752 0.752 0.253
```

crystal system: trigonal
D(E_F): 3.7 states/eV per cell
size of the total moment: 1.04 Bohr magnetons per cell
density: 7.13 g/cm3
formation energy from raw total energies: -1.1964 eV/atom


DFT (PBE) results for a relaxed AlPb8 crystal. Values from VASP.

Structure (Quantum ESPRESSO input):
```
&SYSTEM
  ibrav = 0, nat = 9, ntyp = 2
/
ATOMIC_SPECIES
Al 26.98 Al.upf
Pb 207.20 Pb.upf
CELL_PARAMETERS angstrom
-5.371 5.371 2.367
5.371 -5.371 2.367
5.371 5.371 -2.367
ATOMIC_POSITIONS crystal
Al 0.000 0.000 0.000
Pb 0.000 0.330 0.330
Pb 0.000 0.670 0.670
Pb 0.330 0.000 0.330
Pb 0.340 0.340 0.680
Pb 0.340 0.660 0.000
Pb 0.660 0.340 0.000
Pb 0.660 0.660 0.320
Pb 0.670 0.000 0.670
```

formation energy: 0.08 eV per atom
crystal system: tetragonal
D(E_F): 4.0 states/eV per cell
size of the total moment: 0.00 Bohr magnetons per cell
density: 10.24 g/cm3


DFT (PBE) results for a relaxed CuGe2PdSe6 crystal. Values from VASP.

Structure (Quantum ESPRESSO input):
```
&SYSTEM
  ibrav = 0, nat = 20, ntyp = 4
/
ATOMIC_SPECIES
Cu 63.55 Cu.upf
Ge 72.64 Ge.upf
Pd 106.42 Pd.upf
Se 78.96 Se.upf
CELL_PARAMETERS angstrom
6.310 -5.795 0.000
6.310 5.795 0.000
-1.409 0.000 6.408
ATOMIC_POSITIONS crystal
Cu 0.245 0.755 0.750
Cu 0.755 0.245 0.250
Ge 0.104 0.279 0.788
Ge 0.279 0.104 0.288
Ge 0.721 0.896 0.712
Ge 0.896 0.721 0.212
Pd 0.402 0.598 0.250
Pd 0.598 0.402 0.750
Se 0.033 0.212 0.106
Se 0.140 0.613 0.403
Se 0.212 0.033 0.606
Se 0.317 0.475 0.872
Se 0.387 0.860 0.097
Se 0.475 0.317 0.372
Se 0.525 0.683 0.628
Se 0.613 0.140 0.903
Se 0.683 0.525 0.128
Se 0.788 0.967 0.394
Se 0.860 0.387 0.597
Se 0.967 0.788 0.894
```

crystal system: monoclinic
D(E_F): 7.6 states/eV per cell
size of the total moment: 0.00 Bohr magnetons per cell
density: 5.59 g/cm3
formation energy from raw total energies: -0.1621 eV/atom


DFT (PBE) results for a relaxed AcTiP2S8 crystal. Values from VASP.

Structure (Quantum ESPRESSO input):
```
&SYSTEM
  ibrav = 0, nat = 12, ntyp = 4
/
ATOMIC_SPECIES
Ac 227.00 Ac.upf
Ti 47.87 Ti.upf
P 30.97 P.upf
S 32.06 S.upf
CELL_PARAMETERS angstrom
6.556 0.000 0.000
-3.278 5.678 0.000
0.000 0.000 8.312
ATOMIC_POSITIONS crystal
Ac 0.000 0.000 0.000
Ti 0.000 0.000 0.500
P 0.333 0.667 0.229
P 0.667 0.333 0.771
S 0.158 0.316 0.299
S 0.158 0.842 0.299
S 0.316 0.158 0.701
S 0.333 0.667 0.988
S 0.667 0.333 0.012
S 0.684 0.842 0.299
S 0.842 0.158 0.701
S 0.842 0.684 0.701
```

crystal system: trigonal
D(E_F): 1.9 states/eV per cell
size of the total moment: 0.00 Bohr magnetons per cell
density: 3.18 g/cm3
formation energy from raw total energies: -0.6861 eV/atom